Compound: AcLa6Se8
Source: Alexandria via LeMat-Bulk
Functional: PBE-GGA
Structure: relaxed

Unit cell a=8.641 b=8.641 c=8.641 alpha=60.00 beta=60.00 gamma=60.00
Sites, in units of the cell vectors:
Ac 0.000 0.000 0.000
La 0.000 0.000 0.500
La 0.000 0.500 0.000
La 0.000 0.500 0.500
La 0.500 0.000 0.000
La 0.500 0.000 0.500
La 0.500 0.500 0.000
Se 0.250 0.250 0.250
Se 0.256 0.256 0.744
Se 0.256 0.744 0.256
Se 0.256 0.744 0.744
Se 0.744 0.256 0.256
Se 0.744 0.256 0.744
Se 0.744 0.744 0.256
Se 0.750 0.750 0.750

Output
Formation energy without anion corrections (eV/atom): -1.9845
VASP energy (eV per atom): -6.088
Magnetic moment (μB/f.u.): 0.00

---

Compound: AcLaSe2
Source: Alexandria via LeMat-Bulk
Functional: PBE-GGA
Structure: relaxed

Unit cell a=8.048 b=8.048 c=8.048 alpha=30.84 beta=30.84 gamma=30.84
Sites, in units of the cell vectors:
Ac 0.000 0.000 0.000
La 0.177 0.177 0.177
Se 0.424 0.424 0.424
Se 0.586 0.586 0.586

Output
Formation energy without anion corrections (eV/atom): -1.8572
VASP energy (eV per atom): -5.858
Magnetic moment (μB/f.u.): 0.00

---

Compound: AcLa3Se4
Source: Alexandria via LeMat-Bulk
Functional: PBE-GGA
Structure: relaxed

Unit cell a=7.546 b=7.546 c=7.546 alpha=131.83 beta=131.83 gamma=70.50
Sites, in units of the cell vectors:
Ac 0.000 0.000 0.000
La 0.250 0.750 0.500
La 0.500 0.500 0.000
La 0.750 0.250 0.500
Se 0.000 0.500 0.500
Se 0.253 0.253 0.000
Se 0.500 0.000 0.500
Se 0.747 0.747 0.000

Output
Formation energy without anion corrections (eV/atom): -1.9587
VASP energy (eV per atom): -6.062
Magnetic moment (μB/f.u.): 0.00

---

Compound: AcLa3Se4
Source: Alexandria via LeMat-Bulk
Functional: PBE-GGA
Structure: relaxed

Unit cell a=7.554 b=7.554 c=4.334 alpha=90.00 beta=90.00 gamma=109.31
Sites, in units of the cell vectors:
Ac 0.000 0.000 0.000
La 0.000 0.500 0.500
La 0.500 0.000 0.500
La 0.500 0.500 0.000
Se 0.253 0.747 0.000
Se 0.257 0.257 0.500
Se 0.743 0.743 0.500
Se 0.747 0.253 0.000

Output
Formation energy without anion corrections (eV/atom): -1.9641
VASP energy (eV per atom): -6.068
Magnetic moment (μB/f.u.): 0.00

---

Compound: Ac6LaSe8
Source: Alexandria via LeMat-Bulk
Functional: PBE-GGA
Structure: relaxed

Unit cell a=8.896 b=8.896 c=8.896 alpha=60.00 beta=60.00 gamma=60.00
Sites, in units of the cell vectors:
Ac 0.000 0.000 0.500
Ac 0.000 0.500 0.000
Ac 0.000 0.500 0.500
Ac 0.500 0.000 0.000
Ac 0.500 0.000 0.500
Ac 0.500 0.500 0.000
La 0.000 0.000 0.000
Se 0.245 0.245 0.755
Se 0.245 0.755 0.245
Se 0.245 0.755 0.755
Se 0.250 0.250 0.250
Se 0.750 0.750 0.750
Se 0.755 0.245 0.245
Se 0.755 0.245 0.755
Se 0.755 0.755 0.245

Output
Formation energy without anion corrections (eV/atom): -1.9167
VASP energy (eV per atom): -5.747
Magnetic moment (μB/f.u.): 0.00

---

Compound: AcLa4Se5
Source: Alexandria via LeMat-Bulk
Functional: PBE-GGA
Structure: relaxed

Unit cell a=11.499 b=11.499 c=11.499 alpha=158.22 beta=148.97 gamma=38.23
Sites, in units of the cell vectors:
Ac 0.000 0.000 0.000
La 0.202 0.202 0.000
La 0.399 0.399 0.000
La 0.601 0.601 0.000
La 0.798 0.798 0.000
Se 0.103 0.603 0.500
Se 0.301 0.801 0.500
Se 0.500 0.000 0.500
Se 0.699 0.199 0.500
Se 0.897 0.397 0.500

Output
Formation energy without anion corrections (eV/atom): -1.9674
VASP energy (eV per atom): -6.091
Magnetic moment (μB/f.u.): 0.00

---

Compound: Ac3LaSe6
Source: Alexandria via LeMat-Bulk
Functional: PBE-GGA
Structure: relaxed

Unit cell a=7.470 b=8.124 c=13.378 alpha=90.00 beta=123.12 gamma=90.00
Sites, in units of the cell vectors:
Ac 0.000 0.000 0.000
Ac 0.000 0.500 0.500
Ac 0.290 0.089 0.752
Ac 0.290 0.411 0.252
Ac 0.710 0.589 0.748
Ac 0.710 0.911 0.248
La 0.500 0.000 0.500
La 0.500 0.500 0.000
Se 0.098 0.069 0.255
Se 0.098 0.431 0.755
Se 0.270 0.687 0.083
Se 0.270 0.813 0.583
Se 0.406 0.191 0.082
Se 0.406 0.309 0.582
Se 0.594 0.691 0.418
Se 0.594 0.809 0.918
Se 0.730 0.187 0.417
Se 0.730 0.313 0.917
Se 0.902 0.569 0.245
Se 0.902 0.931 0.745

Output
Formation energy without anion corrections (eV/atom): -1.9676
VASP energy (eV per atom): -5.784
Magnetic moment (μB/f.u.): 0.00

---

Compound: Ac2LaSe4
Source: Alexandria via LeMat-Bulk
Functional: PBE-GGA
Structure: relaxed

Unit cell a=7.701 b=7.701 c=8.948 alpha=122.43 beta=122.43 gamma=31.44
Sites, in units of the cell vectors:
Ac 0.143 0.143 0.207
Ac 0.857 0.857 0.793
La 0.500 0.500 0.500
Se 0.171 0.171 0.587
Se 0.446 0.446 0.125
Se 0.554 0.554 0.875
Se 0.829 0.829 0.413

Output
Formation energy without anion corrections (eV/atom): -1.9422
VASP energy (eV per atom): -5.811
Magnetic moment (μB/f.u.): 0.00

---

Compound: Ac3La5Se12
Source: Alexandria via LeMat-Bulk
Functional: PBE-GGA
Structure: relaxed

Unit cell a=15.422 b=15.422 c=15.422 alpha=109.47 beta=109.47 gamma=109.47
Sites, in units of the cell vectors:
Ac 0.125 0.250 0.375
Ac 0.125 0.375 0.750
Ac 0.250 0.375 0.125
Ac 0.250 0.875 0.625
Ac 0.375 0.125 0.250
Ac 0.375 0.750 0.125
Ac 0.625 0.250 0.875
Ac 0.625 0.875 0.750
Ac 0.750 0.125 0.375
Ac 0.750 0.625 0.875
Ac 0.875 0.625 0.250
Ac 0.875 0.750 0.625
La 0.000 0.000 0.000
La 0.000 0.000 0.500
La 0.000 0.500 0.000
La 0.000 0.500 0.500
La 0.125 0.750 0.875
La 0.125 0.875 0.250
La 0.250 0.125 0.875
La 0.250 0.625 0.375
La 0.375 0.250 0.625
La 0.375 0.625 0.750
La 0.500 0.000 0.000
La 0.500 0.000 0.500
La 0.500 0.500 0.000
La 0.500 0.500 0.500
La 0.625 0.375 0.250
La 0.625 0.750 0.375
La 0.750 0.375 0.625
La 0.750 0.875 0.125
La 0.875 0.125 0.750
La 0.875 0.250 0.125
Se 0.049 0.222 0.132
Se 0.049 0.327 0.917
Se 0.083 0.632 0.410
Se 0.083 0.951 0.673
Se 0.090 0.722 0.673
Se 0.090 0.868 0.417
Se 0.132 0.049 0.222
Se 0.132 0.583 0.910
Se 0.173 0.222 0.590
Se 0.173 0.451 0.583
Se 0.222 0.132 0.049
Se 0.222 0.590 0.173
Se 0.278 0.327 0.910
Se 0.278 0.451 0.368
Se 0.327 0.910 0.278
Se 0.327 0.917 0.049
Se 0.368 0.278 0.451
Se 0.368 0.590 0.917
Se 0.410 0.083 0.632
Se 0.410 0.827 0.778
Se 0.417 0.090 0.868
Se 0.417 0.827 0.549
Se 0.451 0.368 0.278
Se 0.451 0.583 0.173
Se 0.549 0.417 0.827
Se 0.549 0.632 0.722
Se 0.583 0.173 0.451
Se 0.583 0.910 0.132
Se 0.590 0.173 0.222
Se 0.590 0.917 0.368
Se 0.632 0.410 0.083
Se 0.632 0.722 0.549
Se 0.673 0.083 0.951
Se 0.673 0.090 0.722
Se 0.722 0.549 0.632
Se 0.722 0.673 0.090
Se 0.778 0.410 0.827
Se 0.778 0.868 0.951
Se 0.827 0.549 0.417
Se 0.827 0.778 0.410
Se 0.868 0.417 0.090
Se 0.868 0.951 0.778
Se 0.910 0.132 0.583
Se 0.910 0.278 0.327
Se 0.917 0.049 0.327
Se 0.917 0.368 0.590
Se 0.951 0.673 0.083
Se 0.951 0.778 0.868

Output
Formation energy without anion corrections (eV/atom): -1.8634
VASP energy (eV per atom): -5.802
Magnetic moment (μB/f.u.): 0.00

---

Compound: AcLaSe2
Source: Alexandria via LeMat-Bulk
Functional: PBE-GGA
Structure: relaxed

Unit cell a=5.347 b=5.347 c=3.783 alpha=90.00 beta=90.00 gamma=90.00
Sites, in units of the cell vectors:
Ac 0.000 0.000 0.000
La 0.500 0.500 0.000
Se 0.000 0.500 0.500
Se 0.500 0.000 0.500

Output
Formation energy without anion corrections (eV/atom): -1.6930
VASP energy (eV per atom): -5.694
Magnetic moment (μB/f.u.): 0.06

---

Compound: Ac4LaSe6
Source: Alexandria via LeMat-Bulk
Functional: PBE-GGA
Structure: relaxed

Unit cell a=8.763 b=8.763 c=8.763 alpha=90.38 beta=90.38 gamma=90.38
Sites, in units of the cell vectors:
Ac 0.132 0.750 0.368
Ac 0.250 0.250 0.250
Ac 0.250 0.632 0.868
Ac 0.368 0.132 0.750
Ac 0.632 0.868 0.250
Ac 0.750 0.368 0.132
Ac 0.750 0.750 0.750
Ac 0.868 0.250 0.632
La 0.000 0.000 0.000
La 0.500 0.500 0.500
Se 0.061 0.913 0.681
Se 0.087 0.319 0.939
Se 0.181 0.413 0.561
Se 0.319 0.939 0.087
Se 0.413 0.561 0.181
Se 0.439 0.819 0.587
Se 0.561 0.181 0.413
Se 0.587 0.439 0.819
Se 0.681 0.062 0.913
Se 0.819 0.587 0.439
Se 0.913 0.681 0.061
Se 0.939 0.087 0.319

Output
Formation energy without anion corrections (eV/atom): -1.8333
VASP energy (eV per atom): -5.676
Magnetic moment (μB/f.u.): 0.00

---

Compound: AcLaSe2
Source: Alexandria via LeMat-Bulk
Functional: PBE-GGA
Structure: relaxed

Unit cell a=5.348 b=5.348 c=5.348 alpha=60.00 beta=60.00 gamma=60.00
Sites, in units of the cell vectors:
Ac 0.000 0.000 0.000
La 0.500 0.500 0.500
Se 0.250 0.250 0.250
Se 0.750 0.750 0.750

Output
Formation energy without anion corrections (eV/atom): -1.6957
VASP energy (eV per atom): -5.697
Magnetic moment (μB/f.u.): 0.27

---

Compound: AcLa5Se8
Source: Alexandria via LeMat-Bulk
Functional: PBE-GGA
Structure: relaxed

Unit cell a=7.921 b=7.921 c=7.921 alpha=109.46 beta=109.46 gamma=109.49
Sites, in units of the cell vectors:
Ac 0.000 0.000 0.000
La 0.251 0.625 0.126
La 0.375 0.501 0.626
La 0.499 0.125 0.874
La 0.750 0.250 0.500
La 0.875 0.749 0.374
Se 0.125 0.227 0.748
Se 0.128 0.722 0.748
Se 0.278 0.026 0.406
Se 0.478 0.377 0.252
Se 0.620 0.872 0.594
Se 0.623 0.875 0.101
Se 0.773 0.522 0.899
Se 0.974 0.380 0.252

Output
Formation energy without anion corrections (eV/atom): -2.0130
VASP energy (eV per atom): -6.057
Magnetic moment (μB/f.u.): 0.00

---

Compound: AcLa2Se
Source: Alexandria via LeMat-Bulk
Functional: PBE-GGA
Structure: relaxed

Unit cell a=11.296 b=11.296 c=11.296 alpha=20.39 beta=20.39 gamma=20.39
Sites, in units of the cell vectors:
Ac 0.000 0.000 0.000
La 0.111 0.111 0.111
La 0.889 0.889 0.889
Se 0.500 0.500 0.500

Output
Formation energy without anion corrections (eV/atom): -0.7087
VASP energy (eV per atom): -5.071
Magnetic moment (μB/f.u.): 0.29

---

Compound: AcLa2SmSe4
Source: Alexandria via LeMat-Bulk
Functional: PBE-GGA
Structure: relaxed

Unit cell a=7.481 b=4.296 c=7.518 alpha=90.00 beta=109.23 gamma=90.00
Sites, in units of the cell vectors:
Ac 0.000 0.000 0.000
La 0.500 0.000 0.500
La 0.500 0.500 0.000
Sm 0.000 0.500 0.500
Se 0.246 0.000 0.740
Se 0.253 0.500 0.261
Se 0.747 0.500 0.739
Se 0.754 0.000 0.260

Output
Formation energy without anion corrections (eV/atom): -1.9090
VASP energy (eV per atom): -5.987
Magnetic moment (μB/f.u.): 0.00

---

Compound: Ac4La3SmSe8
Source: Alexandria via LeMat-Bulk
Functional: PBE-GGA
Structure: relaxed

Unit cell a=8.758 b=8.758 c=8.758 alpha=59.83 beta=59.83 gamma=59.83
Sites, in units of the cell vectors:
Ac 0.000 0.000 0.000
Ac 0.000 0.500 0.500
Ac 0.500 0.000 0.500
Ac 0.500 0.500 0.000
La 0.000 0.000 0.500
La 0.000 0.500 0.000
La 0.500 0.000 0.000
Sm 0.500 0.500 0.500
Se 0.247 0.247 0.247
Se 0.250 0.743 0.743
Se 0.257 0.257 0.750
Se 0.257 0.750 0.257
Se 0.743 0.250 0.743
Se 0.743 0.743 0.250
Se 0.750 0.257 0.257
Se 0.753 0.753 0.753

Output
Formation energy without anion corrections (eV/atom): -1.9041
VASP energy (eV per atom): -5.892
Magnetic moment (μB/f.u.): 0.00

---

Compound: AcLaSm2Se4
Source: Alexandria via LeMat-Bulk
Functional: PBE-GGA
Structure: relaxed

Unit cell a=7.412 b=4.237 c=7.477 alpha=90.00 beta=108.99 gamma=90.00
Sites, in units of the cell vectors:
Ac 0.000 0.000 0.000
La 0.500 0.500 0.000
Sm 0.000 0.500 0.500
Sm 0.500 0.000 0.500
Se 0.249 0.000 0.737
Se 0.260 0.500 0.267
Se 0.740 0.500 0.733
Se 0.751 0.000 0.263

Output
Formation energy without anion corrections (eV/atom): -1.8690
VASP energy (eV per atom): -5.921
Magnetic moment (μB/f.u.): 0.00

---

Compound: AcLa3Sm2Se6
Source: Alexandria via LeMat-Bulk
Functional: PBE-GGA
Structure: relaxed

Unit cell a=7.448 b=7.448 c=7.432 alpha=99.65 beta=99.65 gamma=120.14
Sites, in units of the cell vectors:
Ac 0.000 0.000 0.000
La 0.163 0.837 0.500
La 0.500 0.500 0.500
La 0.837 0.163 0.500
Sm 0.333 0.667 0.000
Sm 0.667 0.333 0.000
Se 0.083 0.427 0.248
Se 0.264 0.264 0.757
Se 0.427 0.083 0.248
Se 0.573 0.917 0.752
Se 0.736 0.736 0.243
Se 0.917 0.573 0.752

Output
Formation energy without anion corrections (eV/atom): -1.9125
VASP energy (eV per atom): -6.016
Magnetic moment (μB/f.u.): 0.00

---

Compound: Ac2LaSmSe6
Source: Alexandria via LeMat-Bulk
Functional: PBE-GGA
Structure: relaxed

Unit cell a=8.032 b=8.032 c=8.032 alpha=57.43 beta=57.43 gamma=57.43
Sites, in units of the cell vectors:
Ac 0.000 0.000 0.000
Ac 0.499 0.499 0.499
La 0.290 0.290 0.290
Sm 0.792 0.792 0.792
Se 0.078 0.672 0.419
Se 0.169 0.589 0.910
Se 0.419 0.078 0.672
Se 0.589 0.910 0.169
Se 0.672 0.419 0.078
Se 0.910 0.169 0.589

Output
Formation energy without anion corrections (eV/atom): -1.9470
VASP energy (eV per atom): -5.824
Magnetic moment (μB/f.u.): 0.00